1.
Density functional theory data (PBE) for a relaxed structure of Ho3Sc2Hg2.

Cell lengths 4.7716, 3.4303, 11.2384 Å; angles 90.00, 77.74, 90.00 degrees
Element x y z (fractional)
Ho (0.8492, 0.0000, 0.3016)
Ho (0.0000, 0.0000, 0.0000)
Ho (0.1508, 0.0000, 0.6984)
Sc (0.7134, 0.5000, 0.5731)
Sc (0.2866, 0.5000, 0.4269)
Hg (0.5741, 0.5000, 0.8518)
Hg (0.4259, 0.5000, 0.1482)

Calculated values
Calculated total energy   -4.009 eV/atom
Formation energy   -0.15 eV per atom
Calculated volume   180 Å³ per cell
Magnetic moment   0.0 μB per cell

***

2.
Density functional theory data (PBE) for a relaxed structure of NdTmS.

Cell lengths 5.4379, 3.6172, 8.6933 Å; angles 102.01, 108.23, 90.00 degrees
Element x y z (fractional)
Nd (0.6720, 0.1720, 0.3439)
Nd (0.3280, 0.8280, 0.6561)
Tm (0.7574, 0.5000, 0.0000)
Tm (0.2426, 0.5000, 0.0000)
S (0.1544, 0.6544, 0.3088)
S (0.8456, 0.3456, 0.6912)

Calculated values
Calculated total energy   -5.191 eV/atom
Calculated volume   158 Å³ per cell
Magnetic moment   0.0 μB per cell
Energy relative to the elements, uncorrected   -0.736 eV/atom
Energy above the lowest structure with this stoichiometry   0.5018 eV/atom

***

3.
Density functional theory data (PBE) for a relaxed structure of LiLa2W.

Cell lengths 4.8597, 4.8597, 7.3154 Å; angles 85.85, 85.85, 37.49 degrees
Element x y z (fractional)
La (0.9950, 0.9950, 0.0261)
La (0.5050, 0.5050, 0.4739)
Li (0.7500, 0.7500, 0.7500)
W (0.2500, 0.2500, 0.2500)

Calculated values
Calculated total energy   -5.578 eV/atom
Formation energy   0.60 eV per atom
Calculated volume   105 Å³ per cell
Magnetic moment   0.0 μB per cell
Energy above the lowest structure with this stoichiometry   0.1914 eV/atom

***

4.
Density functional theory data (PBE) for a relaxed structure of PmPr6Y4.

Cell lengths 10.0427, 10.0427, 10.0427 Å; angles 55.71, 141.41, 141.41 degrees
Element x y z (fractional)
Pm (0.0000, 0.0000, 0.0000)
Pr (0.0000, 0.8118, 0.4556)
Pr (0.0000, 0.4556, 0.8118)
Pr (0.3562, 0.5444, 0.5444)
Pr (0.5000, 0.5000, 0.0000)
Pr (0.6438, 0.1882, 0.1882)
Pr (0.5000, 0.0000, 0.5000)
Y (0.0000, 0.6373, 0.0081)
Y (0.3708, 0.3627, 0.3627)
Y (0.0000, 0.0081, 0.6373)
Y (0.6292, 0.9919, 0.9919)

Calculated values
Calculated total energy   -5.115 eV/atom
Formation energy   0.27 eV per atom
Calculated volume   391 Å³ per cell
Magnetic moment   0.0 μB per cell

***

5.
Density functional theory data (PBE) for a relaxed structure of La2HfAlSi.

Cell lengths 5.7124, 4.5567, 5.7124 Å; angles 90.00, 90.00, 90.00 degrees
Element x y z (fractional)
Si (0.0000, 0.5000, 0.0000)
Hf (0.5000, 0.5000, 0.5000)
Al (0.0000, 0.0000, 0.0000)
La (0.0000, 0.0000, 0.5000)
La (0.5000, 0.0000, 0.0000)

Calculated values
Calculated total energy   -5.160 eV/atom
Calculated volume   149 Å³ per cell
Magnetic moment   2.8 μB per cell
Energy relative to the elements, uncorrected   0.635 eV/atom

***

6.
Density functional theory data (PBE) for a relaxed structure of AcSn2Ru.

Cell lengths 4.7443, 10.0191, 10.3769 Å; angles 118.87, 103.21, 90.00 degrees
Element x y z (fractional)
Ac (0.7108, 0.7108, 0.4216)
Ac (0.5000, 0.2569, 0.0000)
Ac (0.5000, 0.7431, 0.0000)
Ac (0.2892, 0.2892, 0.5784)
Sn (0.9185, 0.4185, 0.8371)
Sn (0.6977, 0.3619, 0.3954)
Sn (0.6977, 0.0335, 0.3954)
Sn (0.3023, 0.6381, 0.6046)
Sn (0.0859, 0.0859, 0.1719)
Sn (0.0815, 0.5815, 0.1629)
Sn (0.9141, 0.9141, 0.8281)
Sn (0.3023, 0.9665, 0.6046)
Ru (0.8566, 0.6068, 0.7133)
Ru (0.1434, 0.3932, 0.2867)
Ru (0.1434, 0.8935, 0.2867)
Ru (0.8566, 0.1065, 0.7133)

Calculated values
Calculated total energy   -5.810 eV/atom
Formation energy   -0.46 eV per atom
Calculated volume   417 Å³ per cell
Magnetic moment   0.0 μB per cell
Energy above the lowest structure with this stoichiometry   0.0184 eV/atom

***

7.
Density functional theory data (PBE) for a relaxed structure of Sb2As2Pb.

Cell lengths 8.4978, 8.4978, 3.8252 Å; angles 90.00, 90.00, 90.00 degrees
Element x y z (fractional)
Pb (0.0000, 0.0000, 0.0000)
Pb (0.5000, 0.5000, 0.0000)
Sb (0.1823, 0.6823, 0.5000)
Sb (0.6823, 0.8177, 0.5000)
Sb (0.8177, 0.3177, 0.5000)
Sb (0.3177, 0.1823, 0.5000)
As (0.3401, 0.8401, 0.0000)
As (0.8401, 0.6599, 0.0000)
As (0.6599, 0.1599, 0.0000)
As (0.1599, 0.3401, 0.0000)

Calculated values
Calculated total energy   -4.108 eV/atom
Calculated volume   276 Å³ per cell
Magnetic moment   0.0 μB per cell
Energy relative to the elements, uncorrected   0.143 eV/atom
Energy above the lowest structure with this stoichiometry   0.0000 eV/atom

***

8.
Density functional theory data (PBE) for a relaxed structure of Sm3CoCu.

Cell lengths 3.7977, 8.2810, 8.2779 Å; angles 108.98, 90.00, 90.00 degrees
Element x y z (fractional)
Sm (0.7500, 0.6644, 0.3944)
Sm (0.2500, 0.3356, 0.6056)
Sm (0.7500, 0.3194, 0.9735)
Sm (0.2500, 0.9441, 0.7675)
Sm (0.2500, 0.6806, 0.0265)
Sm (0.7500, 0.0559, 0.2325)
Co (0.2500, 0.9383, 0.4198)
Co (0.7500, 0.0617, 0.5802)
Cu (0.2500, 0.3558, 0.2446)
Cu (0.7500, 0.6442, 0.7554)

Calculated values
Calculated total energy   -5.179 eV/atom
Formation energy   -0.11 eV per atom
Calculated volume   246 Å³ per cell
Magnetic moment   0.0 μB per cell
Energy above the lowest structure with this stoichiometry   0.0000 eV/atom